A plane-wave DFT calculation with PBE-GGA was carried out for a relaxed structure of La2AlSb.

Computed properties:
V   472.5 Å³/cell
Energy relative to the lowest polymorph listed for this composition   198 meV/atom
Electronic total energy   -79.84 eV/cell
E_form (uncorrected)   -0.560 eV per atom

Unit cell a=7.789 b=7.789 c=7.789 alpha=90.00 beta=90.00 gamma=90.00
Space group Fm-3m (No. 225)
Asymmetric unit:
1 La 0.250 0.250 0.250
2 Al 0.000 0.000 0.000
3 Sb 0.000 0.000 0.500


A plane-wave DFT calculation with PBE-GGA was carried out for a relaxed structure of La6Ir2Se3Br.

Computed properties:
V   686.4 Å³/cell
Electronic total energy   -154.55 eV/cell
E_form (uncorrected)   -1.488 eV per atom

Unit cell a=18.935 b=4.217 c=8.899 alpha=90.00 beta=104.96 gamma=90.00
Space group C2/m (No. 12)
Asymmetric unit:
1 La 0.012 0.000 0.271
2 La 0.173 0.500 0.571
3 La 0.175 0.500 0.114
4 Ir 0.167 0.000 0.332
5 Se 0.000 0.500 0.500
6 Se 0.157 0.000 0.840
7 Br 0.000 0.500 0.000


A plane-wave DFT calculation with PBE-GGA was carried out for a relaxed structure of Cs2Tl2In15.

Computed properties:
V   1771.2 Å³/cell
Formation enthalpy at 0 K   -0.03 eV per atom
Electronic total energy   -144.51 eV/cell

Unit cell a=11.1866 b=11.1866 c=16.3436 alpha=90.00 beta=90.00 gamma=120.00
Space group R-3m (No. 166, hexagonal axes)
Asymmetric unit:
1 Cs 0.0000 0.0000 0.1599
2 Tl 0.0000 0.0000 0.3984
3 In 0.0000 0.2922 0.5000
4 In 0.0000 0.5000 0.0000
5 In 0.0051 0.5026 0.6487


A plane-wave DFT calculation with PBE-GGA was carried out for a relaxed structure of NbNiS.

Computed properties:
V   87.4 Å³/cell
Energy relative to the lowest polymorph listed for this composition   63 meV/atom
Electronic total energy   -43.05 eV/cell
E_form (uncorrected)   -0.515 eV per atom

Unit cell a=4.707 b=3.417 c=5.433 alpha=90.00 beta=90.20 gamma=90.00
Space group Pm (No. 6)
Asymmetric unit:
1 Nb 0.000 0.000 0.000
2 Nb 0.500 0.500 0.155
3 Ni 0.266 0.500 0.670
4 Ni 0.773 0.000 0.487
5 S 0.021 0.500 0.335
6 S 0.520 0.000 0.818


A plane-wave DFT calculation with PBE-GGA was carried out for a relaxed structure of Er6HgIr5.

Computed properties:
V   244.4 Å³/cell
Formation enthalpy at 0 K   -0.80 eV per atom
Electronic total energy   -81.59 eV/cell

Unit cell a=4.794 b=7.090 c=7.562 alpha=90.00 beta=108.02 gamma=90.00
Space group P2/m (No. 10)
Asymmetric unit:
1 Er 0.000 0.238 0.000
2 Er 0.328 0.246 0.657
3 Hg 0.500 0.500 0.000
4 Ir 0.164 0.500 0.330
5 Ir 0.167 0.000 0.334
6 Ir 0.500 0.000 0.000


A plane-wave DFT calculation with PBE-GGA was carried out for a relaxed structure of CdP2.

Computed properties:
V   247.5 Å³/cell
Formation enthalpy at 0 K   0.35 eV per atom
Electronic total energy   -42.78 eV/cell

Unit cell a=5.953 b=5.953 c=6.986 alpha=90.00 beta=90.00 gamma=90.00
Space group I4/mcm (No. 140)
Asymmetric unit:
1 Cd 0.000 0.000 0.250
2 P 0.121 0.379 0.000